VASP calculation (GGA-PBE) on a geometry-optimized Pm2PrAg2Sn2 structure.

```
Pm2PrAg2Sn2
1.0
2.446 1.412 9.014
-2.446 1.412 9.014
0.000 -2.825 9.014
Pm Pr Ag Sn
2 1 2 2
direct
0.135 0.135 0.135 Pm
0.865 0.865 0.865 Pm
0.000 0.000 0.000 Pr
0.429 0.429 0.429 Ag
0.571 0.571 0.571 Ag
0.265 0.265 0.265 Sn
0.735 0.735 0.735 Sn
```

Output
As for the space-group type: No. 166. The formation energy comes out at -3.04 eV/f.u.

=====

VASP calculation (GGA-PBE) on a geometry-optimized Li3Cd5H12 structure.

```
Li3Cd5H12
1.0
-6.199 6.199 6.199
6.199 -6.199 6.199
6.199 6.199 -6.199
Li Cd H
12 20 48
direct
0.125 0.250 0.375 Li
0.125 0.375 0.750 Li
0.250 0.375 0.125 Li
0.250 0.875 0.625 Li
0.375 0.125 0.250 Li
0.375 0.750 0.125 Li
0.625 0.250 0.875 Li
0.625 0.875 0.750 Li
0.750 0.125 0.375 Li
0.750 0.625 0.875 Li
0.875 0.625 0.250 Li
0.875 0.750 0.625 Li
0.000 0.000 0.000 Cd
0.000 0.000 0.500 Cd
0.000 0.500 0.000 Cd
0.000 0.500 0.500 Cd
0.125 0.750 0.875 Cd
0.125 0.875 0.250 Cd
0.250 0.125 0.875 Cd
0.250 0.625 0.375 Cd
0.375 0.250 0.625 Cd
0.375 0.625 0.750 Cd
0.500 0.000 0.000 Cd
0.500 0.000 0.500 Cd
0.500 0.500 0.000 Cd
0.500 0.500 0.500 Cd
0.625 0.375 0.250 Cd
0.625 0.750 0.375 Cd
0.750 0.375 0.625 Cd
0.750 0.875 0.125 Cd
0.875 0.125 0.750 Cd
0.875 0.250 0.125 Cd
0.035 0.212 0.129 H
0.035 0.323 0.906 H
0.083 0.712 0.677 H
0.083 0.871 0.406 H
0.094 0.629 0.417 H
0.094 0.965 0.677 H
0.129 0.035 0.212 H
0.129 0.594 0.917 H
0.177 0.212 0.583 H
0.177 0.465 0.594 H
0.212 0.129 0.035 H
0.212 0.583 0.177 H
0.288 0.323 0.917 H
0.288 0.465 0.371 H
0.323 0.906 0.035 H
0.323 0.917 0.288 H
0.371 0.288 0.465 H
0.371 0.583 0.906 H
0.406 0.083 0.871 H
0.406 0.823 0.535 H
0.417 0.094 0.629 H
0.417 0.823 0.788 H
0.465 0.371 0.288 H
0.465 0.594 0.177 H
0.535 0.406 0.823 H
0.535 0.629 0.712 H
0.583 0.177 0.212 H
0.583 0.906 0.371 H
0.594 0.177 0.465 H
0.594 0.917 0.129 H
0.629 0.417 0.094 H
0.629 0.712 0.535 H
0.677 0.083 0.712 H
0.677 0.094 0.965 H
0.712 0.535 0.629 H
0.712 0.677 0.083 H
0.788 0.417 0.823 H
0.788 0.871 0.965 H
0.823 0.535 0.406 H
0.823 0.788 0.417 H
0.871 0.406 0.083 H
0.871 0.965 0.788 H
0.906 0.035 0.323 H
0.906 0.371 0.583 H
0.917 0.129 0.594 H
0.917 0.288 0.323 H
0.965 0.677 0.094 H
0.965 0.788 0.871 H
```

Output
As for the space-group type: No. 230. For the total energy, the calculation gives -2.406 eV per atom.